1.
An optimized crystal structure of LaBi2Rh, computed with GGA-PBE.

## Properties
energy of formation = -2.49 eV per formula unit
space-group type = C2/c, No. 15

```
LaBi2Rh
1.0
-5.878 1.434 0.690
-3.007 -2.076 4.994
-1.217 6.186 3.655
La Bi Rh
2 4 2
Cartesian
-6.117 2.546 2.925
-3.986 2.999 6.414
-3.394 0.242 4.015
-6.306 0.266 5.490
-6.708 5.303 5.324
-3.796 5.278 3.849
-2.891 2.738 3.131
-7.211 2.807 6.208
```

2.
An optimized crystal structure of YTmGaSi, computed with GGA-PBE.

## Properties
ΔE_f (raw) = -758 meV per atom
space-group type = Amm2, No. 38

```
YTmGaSi
1.0
4.276 0.000 0.000
0.000 3.939 0.000
-2.138 0.000 5.319
Y Tm Ga Si
1 1 1 1
Cartesian
2.138 1.969 3.816
0.000 0.000 1.487
0.000 0.000 4.513
2.138 1.969 0.821
```

3.
An optimized crystal structure of Ta2SiTcRh, computed with GGA-PBE.

## Properties
ΔE_f (raw) = 775 meV per atom
space-group type = P4/mmm, No. 123

```
Ta2SiTcRh
1.0
-0.491 2.860 -3.591
1.039 -3.182 -2.676
-4.452 -1.177 -0.328
Si Rh Tc Ta
1 1 1 2
Cartesian
0.000 0.000 0.000
-1.952 -0.750 -3.298
0.519 -1.591 -1.338
-2.226 -0.588 -0.164
-0.246 1.430 -1.795
```

4.
An optimized crystal structure of Ac2YGe3Pd12, computed with GGA-PBE.

## Properties
energy of formation = -8.72 eV per formula unit
space-group type = R-3m, No. 166

```
Ac2YGe3Pd12
1.0
-2.325 0.273 -6.647
3.912 -5.390 -2.303
-5.015 -4.879 0.840
Ac Y Ge Pd
2 1 3 12
Cartesian
-2.217 -6.466 -5.246
-1.211 -3.530 -2.864
0.000 0.000 0.000
-1.162 0.137 -3.324
1.956 -2.695 -1.152
-2.508 -2.440 0.420
-3.985 -6.384 -2.601
-0.273 -5.691 -7.027
-1.624 -8.278 -3.266
-2.539 -3.616 -6.624
-4.756 -5.434 -5.448
0.812 -6.659 -4.290
0.557 -3.612 -5.509
-3.155 -4.305 -1.083
-1.804 -1.718 -4.843
-0.888 -6.380 -1.486
1.329 -4.562 -2.662
-4.240 -3.337 -3.820
```

5.
An optimized crystal structure of K4Rb2TlAs2, computed with GGA-PBE.

## Properties
energy of formation = -1.71 eV per formula unit
space-group type = C2/m, No. 12

```
K4Rb2TlAs2
1.0
-0.232 -5.304 -1.119
8.820 -3.012 -0.573
3.690 -4.456 7.329
K Rb Tl As
4 2 1 2
Cartesian
5.922 -2.984 -0.169
9.452 -8.917 1.038
6.357 -9.788 5.806
2.827 -3.855 4.599
7.887 -6.671 3.901
4.391 -6.101 1.736
-0.116 -2.652 -0.559
2.554 -3.106 1.090
9.724 -9.666 4.547
```

6.
An optimized crystal structure of Pm5HoSn5, computed with GGA-PBE.

## Properties
energy of formation = -5.27 eV per formula unit
space-group type = C2/m, No. 12

```
Pm5HoSn5
1.0
-2.613 -5.354 -1.991
0.597 0.214 8.552
-6.331 3.606 -1.390
Pm Ho Sn
5 1 5
Cartesian
-3.570 -2.376 1.166
-6.699 -0.526 0.295
-3.166 1.803 -0.695
-1.648 -1.009 4.876
-4.777 0.842 4.005
0.000 0.000 0.000
-2.686 -3.812 3.867
-5.985 -1.935 3.149
-1.306 -2.677 -0.995
-2.362 0.401 2.022
-5.661 2.277 1.304
```

7.
An optimized crystal structure of SrTaAs, computed with GGA-PBE.

## Properties
energy above the lowest structure with this stoichiometry = 665 meV per atom
energy of formation = 0.10 eV per formula unit
space-group type = P3m1, No. 156

```
SrTaAs
1.0
3.698 0.000 0.000
-1.849 3.203 0.000
0.000 0.000 6.468
Sr As Ta
1 1 1
Cartesian
1.849 1.068 1.961
0.000 0.000 6.199
0.000 2.135 4.776
```

8.
An optimized crystal structure of AsPPb2, computed with GGA-PBE.

## Properties
energy above the lowest structure with this stoichiometry = 105 meV per atom
energy of formation = 0.99 eV per formula unit
space-group type = I-42d, No. 122

```
AsPPb2
1.0
6.560 0.000 0.000
0.000 6.560 0.000
3.280 3.280 6.477
Pb P As
4 2 2
Cartesian
4.848 1.640 1.619
1.712 4.920 1.619
4.920 4.993 4.858
8.200 8.128 4.858
3.280 3.280 0.000
3.280 6.560 3.238
0.000 0.000 0.000
6.560 3.280 3.238
```

9.
An optimized crystal structure of BPPd3, computed with GGA-PBE.

## Properties
energy above the lowest structure with this stoichiometry = 0 meV per atom
energy of formation = 0.48 eV per formula unit
space-group type = Pm-3m, No. 221

```
BPPd3
1.0
-1.294 -3.271 2.254
3.629 -0.009 2.070
-1.616 2.599 2.844
P B Pd
1 1 3
Cartesian
0.359 -0.340 3.584
0.000 0.000 0.000
1.814 -0.005 1.035
-0.808 1.300 1.422
-0.647 -1.635 1.127
```

10.
An optimized crystal structure of Ti2FeH, computed with GGA-PBE.

## Properties
energy above the lowest structure with this stoichiometry = 0 meV per atom
space-group type = R-3m, No. 166

```
Ti2FeH
1.0
-2.303 -1.493 1.038
-1.190 -2.157 -1.595
2.654 -5.273 2.451
H Fe Ti
1 1 2
Cartesian
-0.420 -4.462 0.948
0.000 0.000 0.000
-0.028 -2.424 0.599
-0.812 -6.499 1.296
```

11.
An optimized crystal structure of La6Er2Sc, computed with GGA-PBE.

## Properties
energy of formation = 0.40 eV per formula unit
space-group type = C2/m, No. 12

```
La6Er2Sc
1.0
5.167 0.000 0.000
-2.584 5.427 -1.641
0.000 -0.045 10.911
La Er Sc
6 2 1
Cartesian
0.000 3.602 9.243
2.584 1.780 0.027
0.000 0.034 1.900
2.584 1.803 3.738
2.584 5.348 7.370
0.000 3.579 5.532
2.584 1.730 7.283
0.000 3.652 1.987
0.000 -0.023 5.455
```

12.
An optimized crystal structure of RbCd2Hg, computed with GGA-PBE.

## Properties
energy of formation = -0.07 eV per formula unit
space-group type = I-42d, No. 122

```
RbCd2Hg
1.0
-1.278 4.836 -2.439
-2.741 1.583 4.577
6.932 7.521 4.933
Hg Rb Cd
2 2 4
Cartesian
0.000 0.000 0.000
1.822 7.784 1.782
-2.010 3.210 1.069
1.090 6.157 5.290
0.351 6.010 -0.177
-1.178 7.401 1.809
4.207 7.750 3.641
3.908 9.972 1.854
```

no.,VASP energy (eV/atom)
1,-5.63
2,-5.60
3,-8.59
4,-5.53
5,-2.19
6,-4.87
7,-6.03
8,-4.12
9,-5.44
10,-7.01
11,-4.96
12,-0.79